Entry 1:
TbPrPb after structural relaxation, computed with PBE.

abc: 5.7673 5.7673 6.6964
angles: 90.00 90.00 90.00
Last column: nearest neighbours and their distance in Å.
Atoms (fractional coordinates):
Pr: 0.5000 0.0000 0.7255  1 Tb 3.13, 4 Pb 3.42
Pb: 0.0000 0.0000 0.0000  4 Tb 3.16, 4 Pr 3.42
Pr: 0.0000 0.5000 0.2745  1 Tb 3.13, 4 Pb 3.42
Pb: 0.5000 0.5000 0.0000  4 Tb 3.16, 4 Pr 3.42
Tb: 0.0000 0.5000 0.8065  1 Pr 3.13, 4 Pb 3.16
Tb: 0.5000 0.0000 0.1935  1 Pr 3.13, 4 Pb 3.16

Computed properties:
SG: P4/nmm (129)
calculated total energy: -13.05 eV/f.u.
formation energy: 0.021 eV per atom
N(E_F): 8.15 states/eV/cell
polymorph energy (0 for the lowest one): 468.4 meV per atom

***

Entry 2:
ThPa2FeN4 after structural relaxation, computed with PBE.

abc: 3.4074 6.0585 11.4401
angles: 90.00 90.00 106.33
Last column: nearest neighbours and their distance in Å.
Atoms (fractional coordinates):
Fe: 0.8426 0.6853 0.7500  4 N 2.00-2.09
N: 0.7235 0.4470 0.8767  1 Fe 2.00
Th: 0.8941 0.7882 0.2500  6 N 2.52-2.62
Pa: 0.6334 0.2667 0.4395  6 N 2.35-2.49
N: 0.4467 0.8933 0.7500  2 Fe 2.09
Pa: 0.6334 0.2667 0.0605  6 N 2.35-2.49
N: 0.7235 0.4470 0.6233  1 Fe 2.00
N: 0.0000 0.0000 0.0000  4 Pa 2.41
N: 0.2765 0.5530 0.1233  1 Fe 2.00
N: 0.2765 0.5530 0.3767  1 Fe 2.00
Th: 0.1059 0.2118 0.7500  6 N 2.52-2.62
Pa: 0.3666 0.7333 0.5605  6 N 2.35-2.49
N: 0.5533 0.1067 0.2500  2 Fe 2.09
Fe: 0.1574 0.3147 0.2500  4 N 2.00-2.09
Pa: 0.3666 0.7333 0.9395  6 N 2.35-2.49
N: 0.0000 0.0000 0.5000  4 Pa 2.41

Computed properties:
SG: Cmcm (63)
calculated total energy: -79.13 eV/f.u.
N(E_F): 3.00 states/eV/cell

***

Entry 3:
TeAs2BrN after structural relaxation, computed with PBE.

abc: 4.6508 4.6508 4.4547
angles: 90.00 90.00 90.00
Last column: nearest neighbours and their distance in Å.
Atoms (fractional coordinates):
Te: 0.5000 0.5000 0.5000  8 As 3.22, 4 Br 3.29
As: 0.5000 0.0000 0.0000  2 N 2.33
Br: 0.0000 0.0000 0.5000  2 N 2.23
As: 0.0000 0.5000 0.0000  2 N 2.33
N: 0.0000 0.0000 0.0000  2 Br 2.23, 4 As 2.33

Computed properties:
SG: P4/mmm (123)
calculated total energy: -17.89 eV/f.u.
N(E_F): 3.45 states/eV/cell
polymorph energy (0 for the lowest one): 0.0 meV per atom

***

Entry 4:
TlCu2RhCl8 after structural relaxation, computed with PBE.

abc: 6.1255 6.9438 7.8986
angles: 69.70 91.68 99.36
Last column: nearest neighbours and their distance in Å.
Atoms (fractional coordinates):
Cl: 0.6206 0.6951 0.5762  2 Cu 2.28-2.40
Cl: 0.1629 0.8057 0.2706  1 Cu 2.34, 1 Rh 2.39
Cl: 0.3794 0.3049 0.4238  2 Cu 2.28-2.40
Cu: 0.4972 0.6752 0.3066  4 Cl 2.21-2.40
Cl: 0.8371 0.1943 0.7294  1 Cu 2.34, 1 Rh 2.39
Cl: 0.1681 0.8346 0.8374  1 Rh 2.35
Cl: 0.8319 0.1654 0.1626  1 Rh 2.35
Cl: 0.3104 0.2710 0.9432  1 Cu 2.21, 1 Rh 2.38
Rh: 0.0000 0.0000 0.0000  6 Cl 2.35-2.39
Cl: 0.6896 0.7290 0.0568  1 Cu 2.21, 1 Rh 2.38
Tl: 0.0000 0.0000 0.5000  6 Cl 2.75-2.89
Cu: 0.5028 0.3248 0.6934  4 Cl 2.21-2.40

Computed properties:
SG: P-1 (2)
calculated total energy: -39.81 eV/f.u.
N(E_F): 5.04 states/eV/cell

***

Entry 5:
Be2RuPb after structural relaxation, computed with PBE.

abc: 4.7116 4.7116 4.7116
angles: 132.22 132.13 69.96
Last column: nearest neighbours and their distance in Å.
Atoms (fractional coordinates):
Be: 0.4998 0.4998 0.0000  4 Be 2.70, 4 Ru 2.71-2.72, 4 Pb 2.72
Ru: 0.2500 0.7500 0.5000  4 Pb 2.70, 8 Be 2.71-2.72
Pb: 0.7500 0.2500 0.5000  4 Ru 2.70, 8 Be 2.72
Be: 0.0002 0.0002 0.0000  4 Be 2.70, 4 Ru 2.71-2.72, 4 Pb 2.72

Computed properties:
SG: I4/mmm (139)
calculated total energy: -18.81 eV/f.u.
formation energy: 0.406 eV per atom
N(E_F): 0.96 states/eV/cell
polymorph energy (0 for the lowest one): 316.1 meV per atom

***

Entry 6:
Sc4TlIn2Hg after structural relaxation, computed with PBE.

abc: 5.0396 5.0396 8.7336
angles: 73.23 73.23 60.00
Last column: nearest neighbours and their distance in Å.
Atoms (fractional coordinates):
Sc: 0.1260 0.1260 0.6219  4 In 3.04-3.09, 3 Hg 3.08, 1 Tl 3.11
Sc: 0.3761 0.3761 0.8716  1 Hg 3.06, 4 In 3.08-3.14, 3 Tl 3.10
In: 0.2491 0.2491 0.2526  8 Sc 3.04-3.14
Tl: 0.0000 0.0000 0.0000  8 Sc 3.10-3.11
In: 0.7509 0.7509 0.7474  8 Sc 3.04-3.14
Sc: 0.8740 0.8740 0.3781  4 In 3.04-3.09, 3 Hg 3.08, 1 Tl 3.11
Sc: 0.6239 0.6239 0.1284  1 Hg 3.06, 4 In 3.08-3.14, 3 Tl 3.10
Hg: 0.5000 0.5000 0.5000  8 Sc 3.06-3.08

Computed properties:
SG: R-3m (166)
calculated total energy: -36.45 eV/f.u.
formation energy: -0.373 eV per atom
N(E_F): 8.14 states/eV/cell

***

Entry 7:
Mn2AsP after structural relaxation, computed with PBE.

abc: 4.0450 4.0450 4.0450
angles: 60.00 60.00 60.00
Last column: nearest neighbours and their distance in Å.
Atoms (fractional coordinates):
Mn: 0.2500 0.2500 0.2500  4 As 2.48, 4 P 2.48
P: 0.0000 0.0000 0.0000  8 Mn 2.48
As: 0.5000 0.5000 0.5000  8 Mn 2.48
Mn: 0.7500 0.7500 0.7500  4 As 2.48, 4 P 2.48

Computed properties:
SG: Fm-3m (225)
calculated total energy: -28.72 eV/f.u.
formation energy: -0.081 eV per atom
N(E_F): 3.14 states/eV/cell

***

Entry 8:
Pr3AsS after structural relaxation, computed with PBE.

abc: 3.7749 6.8678 6.8693
angles: 60.01 90.00 90.00
Last column: nearest neighbours and their distance in Å.
Atoms (fractional coordinates):
Pr: 0.7202 0.7726 0.0607  2 S 2.94, 2 As 2.99
Pr: 0.7202 0.0979 0.3905  2 S 2.94, 2 As 2.99
As: 0.2202 0.4328 0.3955  6 Pr 2.99
S: 0.2202 0.0995 0.0622  6 Pr 2.94
Pr: 0.7202 0.4278 0.7353  2 S 2.94, 2 As 2.99

Computed properties:
SG: P-6 (174)
calculated total energy: -28.58 eV/f.u.
N(E_F): 4.89 states/eV/cell